# 1
KInGe PBE optimized geometry; M_tot = 0.000 μB per cell; energy = -8.79 eV per formula unit; space-group type = C2/m (12); crystal system = monoclinic
1.0
8.1092 0.0000 -0.0101
4.1270 2.4843 -4.2295
-4.1270 2.4843 4.2295
Ge In K
2 2 2
Direct
0.7171 0.9289 0.0711
0.2829 0.0711 0.9289
0.0780 0.5894 0.4106
0.9220 0.4106 0.5894
0.6718 0.2493 0.7507
0.3282 0.7507 0.2493


# 2
TeOsPt3 PBE optimized geometry; M_tot = 0.000 μB per cell; energy = -26.46 eV per formula unit; polymorph energy (0 for the lowest one) = 0.000 eV per atom; space-group type = Pm-3m (221); crystal system = cubic
1.0
-2.9783 2.3906 2.9864
-2.4372 -4.1030 0.8540
2.9486 -0.9767 3.7224
Os Pt Te
1 3 1
Direct
0.0000 0.0000 0.0000
0.0000 0.5000 0.0000
0.5000 0.0000 0.0000
0.0000 0.0000 0.5000
0.5000 0.5000 0.5000